The following is a DFT calculation (PBE with a Hubbard U) of a geometry-optimized NpCrCd2O8 structure.

Cell: 4.9879 6.4412 4.9989 Å, 90.00 92.03 90.00°
Fractional coordinates of all 12 atoms:
Np 0.0000 0.0000 0.0000
Cr 0.0000 0.5000 0.0000
Cd 0.5000 0.2636 0.5000
Cd 0.5000 0.7364 0.5000
O 0.1767 0.2564 0.8250
O 0.1767 0.7436 0.8250
O 0.2526 0.5000 0.2537
O 0.2807 0.0000 0.2824
O 0.7193 0.0000 0.7176
O 0.7474 0.5000 0.7463
O 0.8233 0.2564 0.1750
O 0.8233 0.7436 0.1750

## Properties
Symmetry ... No. 10
E ... -6.770 eV/atom

The following is a DFT calculation (PBE with a Hubbard U) of a geometry-optimized Cr2Cd2O structure.

Cell: 7.9647 7.9647 7.9647 Å, 153.02 153.02 38.52°
Fractional coordinates of all 5 atoms:
Cr 0.0883 0.0883 0.0000
Cr 0.9117 0.9117 0.0000
Cd 0.2500 0.7500 0.5000
Cd 0.7500 0.2500 0.5000
O 0.5000 0.5000 0.0000

## Properties
Energy relative to the lowest polymorph listed for this composition ... 764 meV/atom
Symmetry ... No. 139

The following is a DFT calculation (PBE with a Hubbard U) of a geometry-optimized Cr2CdO structure.

Cell: 4.5710 4.5710 4.5710 Å, 60.00 60.00 60.00°
Fractional coordinates of all 4 atoms:
Cr 0.2500 0.2500 0.2500
Cr 0.7500 0.7500 0.7500
Cd 0.0000 0.0000 0.0000
O 0.5000 0.5000 0.5000

## Properties
Symmetry ... No. 225
E ... -4.912 eV/atom

The following is a DFT calculation (PBE with a Hubbard U) of a geometry-optimized CrCdO3 structure.

Cell: 3.7265 3.7646 5.1766 Å, 74.20 89.85 89.77°
Fractional coordinates of all 5 atoms:
Cr 0.0000 0.0000 0.0000
Cd 0.4994 0.3488 0.3877
O 0.0013 0.4659 0.0938
O 0.4994 0.9495 0.1215
O 0.9947 0.1453 0.6502

## Properties
Symmetry ... No. 1
E ... -5.862 eV/atom

The following is a DFT calculation (PBE with a Hubbard U) of a geometry-optimized CrCdO4 structure.

Cell: 7.2384 7.2384 7.1973 Å, 98.50 98.50 85.92°
Fractional coordinates of all 24 atoms:
Cr 0.2258 0.2258 0.5821
Cr 0.2447 0.7553 0.0000
Cr 0.7553 0.2447 0.0000
Cr 0.7742 0.7742 0.4179
Cd 0.2888 0.2888 0.1251
Cd 0.3133 0.6867 0.5000
Cd 0.6867 0.3133 0.5000
Cd 0.7112 0.7112 0.8749
O 0.0031 0.2789 0.5210
O 0.0283 0.7260 0.9002
O 0.2740 0.9717 0.0998
O 0.2789 0.0031 0.5210
O 0.2839 0.2839 0.8112
O 0.2960 0.6139 0.1718
O 0.3541 0.3541 0.4604
O 0.3861 0.7040 0.8282
O 0.6139 0.2960 0.1718
O 0.6459 0.6459 0.5396
O 0.7040 0.3861 0.8282
O 0.7161 0.7161 0.1888
O 0.7211 0.9969 0.4790
O 0.7260 0.0283 0.9002
O 0.9717 0.2740 0.0998
O 0.9969 0.7211 0.4790

## Properties
Energy relative to the lowest polymorph listed for this composition ... 12 meV/atom
Symmetry ... No. 12

The following is a DFT calculation (PBE with a Hubbard U) of a geometry-optimized Cr3CdO structure.

Cell: 5.2365 5.2365 5.2365 Å, 90.00 90.00 90.00°
Fractional coordinates of all 5 atoms:
Cr 0.0000 0.0000 0.5000
Cr 0.0000 0.5000 0.0000
Cr 0.5000 0.0000 0.0000
Cd 0.0000 0.0000 0.0000
O 0.5000 0.5000 0.5000

## Properties
Energy relative to the lowest polymorph listed for this composition ... 1621 meV/atom
Symmetry ... No. 221